(1)
The following is a PBE calculation of TiP2Pd after structural relaxation, from Alexandria.

Cell and atoms, written as POSCAR:
```
TiP2Pd
1.0
1.8780 1.0843 5.1701
-1.8780 1.0843 5.1701
0.0000 -2.1685 5.1701
Ti P Pd
1 2 1
Direct
0.0000 0.0000 0.0000
0.4107 0.4107 0.4107
0.5746 0.5746 0.5746
0.8157 0.8157 0.8157
```

Calculated values
- SG = R3m
- excess energy over the best structure of this formula in the dataset (eV/atom) = 0.000
- ΔE_f (eV/atom) = -0.55



(2)
The following is a PBE calculation of La2Sm8Pb after structural relaxation, from Alexandria.

Cell and atoms, written as POSCAR:
```
La2Sm8Pb
1.0
9.2757 -2.5265 0.0000
9.2757 2.5265 0.0000
-2.0956 0.0000 7.8170
La Sm Pb
2 8 1
Direct
0.2214 0.2214 0.1313
0.7786 0.7786 0.8687
0.0430 0.0430 0.2276
0.1366 0.1366 0.6771
0.3215 0.3215 0.5934
0.4113 0.4113 0.0610
0.5887 0.5887 0.9390
0.6785 0.6785 0.4066
0.8634 0.8634 0.3229
0.9570 0.9570 0.7724
0.5000 0.5000 0.5000
```

Calculated values
- SG = C2/m
- ΔE_f (eV/atom) = -0.07



(3)
The following is a PBE calculation of Ir5Rh2W after structural relaxation, from Alexandria.

Cell and atoms, written as POSCAR:
```
Ir5Rh2W
1.0
-3.3343 3.3343 5.5067
3.3343 -3.3343 5.5067
3.3343 3.3343 -5.5067
Ir Rh W
10 4 2
Direct
0.0000 0.0000 0.0000
0.0241 0.5241 0.2096
0.1855 0.9759 0.5000
0.3145 0.8145 0.7904
0.4759 0.6855 0.5000
0.5000 0.5000 0.0000
0.5241 0.3145 0.5000
0.6855 0.1855 0.2096
0.8145 0.0241 0.5000
0.9759 0.4759 0.7904
0.1397 0.3603 0.5000
0.3603 0.8603 0.2206
0.6397 0.1397 0.7794
0.8603 0.6397 0.5000
0.2500 0.2500 0.0000
0.7500 0.7500 0.0000
```

Calculated values
- SG = I4/mcm
- ΔE_f (eV/atom) = 0.19



(4)
The following is a PBE calculation of Tb7Sc after structural relaxation, from Alexandria.

Cell and atoms, written as POSCAR:
```
Tb7Sc
1.0
0.0000 4.9782 4.9782
4.9782 0.0000 4.9782
4.9782 4.9782 0.0000
Tb Sc
7 1
Direct
0.0000 0.0000 0.0000
0.0000 0.0000 0.5000
0.0000 0.5000 0.0000
0.0000 0.5000 0.5000
0.5000 0.0000 0.0000
0.5000 0.0000 0.5000
0.5000 0.5000 0.0000
0.5000 0.5000 0.5000
```

Calculated values
- SG = Fm-3m
- ΔE_f (eV/atom) = 0.03



(5)
The following is a PBE calculation of ZrTcW2 after structural relaxation, from Alexandria.

Cell and atoms, written as POSCAR:
```
ZrTcW2
1.0
3.2171 0.0000 0.0000
0.0000 3.2171 0.0000
0.0000 0.0000 6.5736
Zr Tc W
1 1 2
Direct
0.0000 0.0000 0.0000
0.5000 0.5000 0.2620
0.0000 0.0000 0.4948
0.5000 0.5000 0.7296
```

Calculated values
- SG = P4mm
- excess energy over the best structure of this formula in the dataset (eV/atom) = 0.003
- ΔE_f (eV/atom) = -0.08



(6)
The following is a PBE calculation of Th4PSe2S after structural relaxation, from Alexandria.

Cell and atoms, written as POSCAR:
```
Th4PSe2S
1.0
7.0759 0.0000 0.0000
0.0000 4.1641 0.0000
-2.4393 0.0000 6.8651
Th P Se S
4 1 2 1
Direct
0.2439 0.0000 0.2312
0.2564 0.5000 0.7691
0.7436 0.5000 0.2309
0.7561 0.0000 0.7688
0.0000 0.5000 0.0000
0.0000 0.0000 0.5000
0.5000 0.5000 0.5000
0.5000 0.0000 0.0000
```

Calculated values
- formation energy without anion corrections (eV per atom) = -1.653
- SG = P2/m



(7)
The following is a PBE calculation of AcLa3Y6Tm2 after structural relaxation, from Alexandria.

Cell and atoms, written as POSCAR:
```
AcLa3Y6Tm2
1.0
3.1474 -5.4523 0.0000
3.1474 5.4523 0.0000
-2.0938 0.0000 11.8179
Ac La Y Tm
1 3 6 2
Direct
0.0000 0.0000 0.0000
0.1672 0.8328 0.5000
0.5000 0.5000 0.5000
0.8328 0.1672 0.5000
0.0833 0.4199 0.2486
0.2533 0.2533 0.7512
0.4199 0.0833 0.2486
0.5801 0.9167 0.7514
0.7467 0.7467 0.2488
0.9167 0.5801 0.7514
0.3332 0.6668 0.0000
0.6668 0.3332 0.0000
```

Calculated values
- SG = C2/m
- ΔE_f (eV/atom) = 0.03



(8)
The following is a PBE calculation of Pm2CdTcO8 after structural relaxation, from Alexandria.

Cell and atoms, written as POSCAR:
```
Pm2CdTcO8
1.0
4.6614 0.0000 0.0000
-0.3767 5.0482 0.0000
-0.1947 -0.4490 7.2496
Pm Cd Tc O
2 1 1 8
Direct
0.0949 0.0184 0.2556
0.9051 0.9816 0.7444
0.5000 0.5000 0.0000
0.5000 0.5000 0.5000
0.1856 0.2640 0.5456
0.2092 0.1738 0.9762
0.2993 0.6037 0.2766
0.3578 0.7710 0.6527
0.6422 0.2290 0.3473
0.7007 0.3963 0.7234
0.7909 0.8262 0.0238
0.8144 0.7360 0.4544
```

Calculated values
- formation energy without anion corrections (eV per atom) = -1.937
- SG = P-1



(9)
The following is a PBE calculation of Pm5Zn2Ru2 after structural relaxation, from Alexandria.

Cell and atoms, written as POSCAR:
```
Pm5Zn2Ru2
1.0
7.9109 -3.7661 0.0000
7.9109 3.7661 0.0000
0.0000 0.0000 7.7263
Pm Zn Ru
10 4 4
Direct
0.0000 0.0000 0.0000
0.0508 0.6937 0.6777
0.1937 0.5508 0.1777
0.3063 0.9492 0.6777
0.4492 0.8063 0.1777
0.5000 0.5000 0.5000
0.5508 0.1937 0.8223
0.6937 0.0508 0.3223
0.8063 0.4492 0.8223
0.9492 0.3063 0.3223
0.2165 0.2165 0.0000
0.2835 0.2835 0.5000
0.7165 0.7165 0.5000
0.7835 0.7835 0.0000
0.1190 0.8810 0.3736
0.3810 0.6190 0.8736
0.6190 0.3810 0.1264
0.8810 0.1190 0.6264
```

Calculated values
- SG = Cmce
- ΔE_f (eV/atom) = -0.22



(10)
The following is a PBE calculation of HoSi2AgO6 after structural relaxation, from Alexandria.

Cell and atoms, written as POSCAR:
```
HoSi2AgO6
1.0
3.8500 -5.8513 0.0000
3.8500 5.8513 0.0000
-0.0174 0.0000 6.9923
Ho Si Ag O
2 4 2 12
Direct
0.1561 0.8439 0.7500
0.8439 0.1561 0.2500
0.0425 0.2793 0.7505
0.2793 0.0425 0.2505
0.7207 0.9575 0.7495
0.9575 0.7207 0.2495
0.4727 0.5273 0.2500
0.5273 0.4727 0.7500
0.0866 0.5180 0.7506
0.1338 0.8662 0.0805
0.1338 0.8662 0.4195
0.2055 0.2353 0.2507
0.2353 0.2055 0.7507
0.4820 0.9134 0.7494
0.5180 0.0866 0.2506
0.7647 0.7945 0.2493
0.7945 0.7647 0.7493
0.8662 0.1338 0.5805
0.8662 0.1338 0.9195
0.9134 0.4820 0.2494
```

Calculated values
- formation energy without anion corrections (eV per atom) = -2.523
- SG = C2/c



(11)
The following is a PBE calculation of TaTlIr after structural relaxation, from Alexandria.

Cell and atoms, written as POSCAR:
```
TaTlIr
1.0
0.0000 3.1546 3.1546
3.1546 0.0000 3.1546
3.1546 3.1546 0.0000
Ta Tl Ir
1 1 1
Direct
0.0000 0.0000 0.0000
0.5000 0.5000 0.5000
0.2500 0.2500 0.2500
```

Calculated values
- SG = F-43m
- ΔE_f (eV/atom) = 0.18



(12)
The following is a PBE calculation of K5Th3Te8 after structural relaxation, from Alexandria.

Cell and atoms, written as POSCAR:
```
K5Th3Te8
1.0
4.6801 2.7021 8.2133
-4.6801 2.7021 8.2133
0.0000 -5.4041 8.2133
K Th Te
5 3 8
Direct
0.0000 0.0000 0.0000
0.0000 0.5000 0.5000
0.5000 0.0000 0.5000
0.5000 0.5000 0.0000
0.5000 0.5000 0.5000
0.0000 0.0000 0.5000
0.0000 0.5000 0.0000
0.5000 0.0000 0.0000
0.2159 0.7497 0.7497
0.2380 0.2380 0.2380
0.2503 0.2503 0.7841
0.2503 0.7841 0.2503
0.7497 0.2159 0.7497
0.7497 0.7497 0.2159
0.7620 0.7620 0.7620
0.7841 0.2503 0.2503
```

Calculated values
- formation energy without anion corrections (eV per atom) = -1.202
- SG = R-3m